(1)
Below is ZrCrW3 after structural relaxation, with properties calculated at the PBE level.

POSCAR file:
```
ZrCrW3
1.0
4.5464 0.0000 0.0000
0.0000 4.5464 0.0000
0.0000 0.0000 4.5464
Zr Cr W
1 1 3
Direct
0.0000 0.0000 0.0000
0.5000 0.5000 0.5000
0.0000 0.5000 0.5000
0.5000 0.0000 0.5000
0.5000 0.5000 0.0000
```

Output
ΔE to the lowest computed polymorph, meV/atom: 0



(2)
Below is ZrCrW2 after structural relaxation, with properties calculated at the PBE level.

POSCAR file:
```
ZrCrW2
1.0
-1.5956 2.3057 4.4597
1.5956 -2.3057 4.4597
1.5956 2.3057 -4.4597
Zr Cr W
1 1 2
Direct
0.0000 0.0000 0.0000
0.2554 0.7554 0.5000
0.4879 0.4879 0.0000
0.7342 0.2342 0.5000
```

Output
ΔE to the lowest computed polymorph, meV/atom: 81



(3)
Below is ZrCrW after structural relaxation, with properties calculated at the PBE level.

POSCAR file:
```
ZrCrW
1.0
4.4237 0.0000 0.0000
-2.2119 3.8311 0.0000
0.0000 0.0000 2.9342
Zr Cr W
1 1 1
Direct
0.0000 0.0000 0.0000
0.6667 0.3333 0.3441
0.3333 0.6667 0.6194
```

Output
ΔE to the lowest computed polymorph, meV/atom: 339



(4)
Below is ZrCr2W after structural relaxation, with properties calculated at the PBE level.

POSCAR file:
```
ZrCr2W
1.0
3.1644 0.0000 0.0000
0.0000 4.2690 0.0000
0.0000 0.0000 4.5880
Zr Cr W
1 2 1
Direct
0.0000 0.0000 0.0000
0.0000 0.5000 0.5000
0.5000 0.5000 0.0000
0.5000 0.0000 0.5000
```

Output
ΔE to the lowest computed polymorph, meV/atom: 190



(5)
Below is ZrCrW2 after structural relaxation, with properties calculated at the PBE level.

POSCAR file:
```
ZrCrW2
1.0
0.0000 3.1852 3.1852
3.1852 0.0000 3.1852
3.1852 3.1852 0.0000
Zr Cr W
1 1 2
Direct
0.0000 0.0000 0.0000
0.5000 0.5000 0.5000
0.2500 0.2500 0.2500
0.7500 0.7500 0.7500
```

Output
ΔE to the lowest computed polymorph, meV/atom: 140



(6)
Below is ZrCr2W after structural relaxation, with properties calculated at the PBE level.

POSCAR file:
```
ZrCr2W
1.0
-1.5463 2.2117 4.4573
1.5463 -2.2117 4.4573
1.5463 2.2117 -4.4573
Zr Cr W
1 2 1
Direct
0.0000 0.0000 0.0000
0.2606 0.7606 0.5000
0.4897 0.4897 0.0000
0.7317 0.2317 0.5000
```

Output
ΔE to the lowest computed polymorph, meV/atom: 72



(7)
Below is ZrCr2W after structural relaxation, with properties calculated at the PBE level.

POSCAR file:
```
ZrCr2W
1.0
1.5647 -2.2760 0.0000
1.5647 2.2760 0.0000
0.0000 0.0000 8.6098
Zr Cr W
1 2 1
Direct
0.0000 0.0000 0.0000
0.5000 0.5000 0.2668
0.5000 0.5000 0.7332
0.0000 0.0000 0.5000
```

Output
ΔE to the lowest computed polymorph, meV/atom: 148



(8)
Below is ZrCr2W after structural relaxation, with properties calculated at the PBE level.

POSCAR file:
```
ZrCr2W
1.0
2.8735 0.0000 0.0000
0.0000 4.2566 0.0000
0.0000 0.0000 5.2406
Zr Cr W
1 2 1
Direct
0.0000 0.0000 0.0000
0.0000 0.0000 0.4916
0.5000 0.5000 0.2431
0.5000 0.5000 0.6941
```

Output
ΔE to the lowest computed polymorph, meV/atom: 389



(9)
Below is ZrCrW2 after structural relaxation, with properties calculated at the PBE level.

POSCAR file:
```
ZrCrW2
1.0
2.6752 0.0000 0.0000
0.0000 4.7072 0.0000
0.0000 0.0000 5.3302
Zr Cr W
1 1 2
Direct
0.0000 0.0000 0.0000
0.0000 0.0000 0.5000
0.5000 0.5000 0.2570
0.5000 0.5000 0.7430
```

Output
ΔE to the lowest computed polymorph, meV/atom: 355



(10)
Below is Zr4CrW after structural relaxation, with properties calculated at the PBE level.

POSCAR file:
```
Zr4CrW
1.0
0.0000 3.9805 3.9805
3.9805 0.0000 3.9805
3.9805 3.9805 0.0000
Zr Cr W
4 1 1
Direct
0.3760 0.3760 0.3760
0.3760 0.3760 0.8721
0.3760 0.8721 0.3760
0.8721 0.3760 0.3760
0.0000 0.0000 0.0000
0.7500 0.7500 0.7500
```



(11)
Below is ZrCr2W after structural relaxation, with properties calculated at the PBE level.

POSCAR file:
```
ZrCr2W
1.0
-1.5809 2.3124 4.2266
1.5809 -2.3124 4.2266
1.5809 2.3124 -4.2266
Zr Cr W
1 2 1
Direct
0.0000 0.0000 0.0000
0.2610 0.7610 0.5000
0.7390 0.2390 0.5000
0.5000 0.5000 0.0000
```

Output
ΔE to the lowest computed polymorph, meV/atom: 160



(12)
Below is ZrCrW2 after structural relaxation, with properties calculated at the PBE level.

POSCAR file:
```
ZrCrW2
1.0
0.0000 3.1963 3.1963
3.1963 0.0000 3.1963
3.1963 3.1963 0.0000
Zr Cr W
1 1 2
Direct
0.0000 0.0000 0.0000
0.2500 0.2500 0.2500
0.5000 0.5000 0.5000
0.7500 0.7500 0.7500
```

Output
ΔE to the lowest computed polymorph, meV/atom: 15



(13)
Below is ZrCrW after structural relaxation, with properties calculated at the PBE level.

POSCAR file:
```
ZrCrW
1.0
0.0000 3.0325 3.0325
3.0325 0.0000 3.0325
3.0325 3.0325 0.0000
Zr Cr W
1 1 1
Direct
0.0000 0.0000 0.0000
0.2500 0.2500 0.2500
0.5000 0.5000 0.5000
```

Output
ΔE to the lowest computed polymorph, meV/atom: 714



(14)
Below is ZrCrW2 after structural relaxation, with properties calculated at the PBE level.

POSCAR file:
```
ZrCrW2
1.0
1.5898 -2.2969 0.0000
1.5898 2.2969 0.0000
0.0000 0.0000 8.9505
Zr Cr W
1 1 2
Direct
0.0000 0.0000 0.0000
0.5000 0.5000 0.7473
0.0000 0.0000 0.5264
0.5000 0.5000 0.2785
```

Output
ΔE to the lowest computed polymorph, meV/atom: 64



(15)
Below is ZrCr2W after structural relaxation, with properties calculated at the PBE level.

POSCAR file:
```
ZrCr2W
1.0
1.4886 0.8595 8.2683
-1.4886 0.8595 8.2683
0.0000 -1.7189 8.2683
Zr Cr W
1 2 1
Direct
0.0000 0.0000 0.0000
0.2433 0.2433 0.2433
0.7567 0.7567 0.7567
0.5000 0.5000 0.5000
```

Output
ΔE to the lowest computed polymorph, meV/atom: 371



Number 1: DOS at the Fermi energy 1.652 states/eV per atom, spin magnetization 0.00 Bohr magnetons per cell, energy relative to the elements 1.09 eV per atom. Number 2: DOS at the Fermi energy 0.940 states/eV per atom, spin magnetization 0.00 Bohr magnetons per cell, energy relative to the elements 0.20 eV per atom. Number 3: DOS at the Fermi energy 0.866 states/eV per atom, spin magnetization 0.00 Bohr magnetons per cell, energy relative to the elements 0.26 eV per atom. Number 4: DOS at the Fermi energy 1.020 states/eV per atom, spin magnetization 0.45 Bohr magnetons per cell, energy relative to the elements 0.32 eV per atom. Number 5: DOS at the Fermi energy 1.038 states/eV per atom, spin magnetization 0.00 Bohr magnetons per cell, energy relative to the elements 0.26 eV per atom. Number 6: DOS at the Fermi energy 0.766 states/eV per atom, spin magnetization 0.00 Bohr magnetons per cell, energy relative to the elements 0.20 eV per atom. Number 7: DOS at the Fermi energy 0.862 states/eV per atom, spin magnetization 0.00 Bohr magnetons per cell, energy relative to the elements 0.28 eV per atom. Number 8: DOS at the Fermi energy 1.162 states/eV per atom, spin magnetization 0.09 Bohr magnetons per cell, energy relative to the elements 0.52 eV per atom. Number 9: DOS at the Fermi energy 0.942 states/eV per atom, spin magnetization 0.32 Bohr magnetons per cell, energy relative to the elements 0.48 eV per atom. Number 10: DOS at the Fermi energy 1.440 states/eV per atom, spin magnetization 2.40 Bohr magnetons per cell, energy relative to the elements 0.80 eV per atom. Number 11: DOS at the Fermi energy 0.981 states/eV per atom, spin magnetization 0.00 Bohr magnetons per cell, energy relative to the elements 0.29 eV per atom. Number 12: DOS at the Fermi energy 0.950 states/eV per atom, spin magnetization 0.00 Bohr magnetons per cell, energy relative to the elements 0.14 eV per atom. Number 13: DOS at the Fermi energy 1.340 states/eV per atom, spin magnetization 0.00 Bohr magnetons per cell, energy relative to the elements 0.64 eV per atom. Number 14: DOS at the Fermi energy 0.691 states/eV per atom, spin magnetization 0.00 Bohr magnetons per cell, energy relative to the elements 0.18 eV per atom. Number 15: DOS at the Fermi energy 1.392 states/eV per atom, spin magnetization 0.49 Bohr magnetons per cell, energy relative to the elements 0.50 eV per atom.